(1)
Computed, not measured: crystalline SrTbTm2S4 at its relaxed geometry at the GGA-PBE level of DFT.

a b c (Å): 6.857 3.930 6.871
angles (deg): 90.00 109.03 90.00
Space group P2/m (No. 10)
Asymmetric unit:
Sr 0.000 0.000 0.000
Tb 0.500 0.500 0.000
Tm 0.000 0.500 0.500
Tm 0.500 0.000 0.500
S 0.252 0.000 0.737
S 0.263 0.500 0.269

Summary:
**DOS at the Fermi energy**: 0.32 states/eV per atom
**Formation energy without anion corrections**: -1.968 eV per atom

***

(2)
Computed, not measured: crystalline Sr2TbUS6 at its relaxed geometry at the GGA-PBE level of DFT.

a b c (Å): 6.966 7.437 12.297
angles (deg): 90.00 124.45 90.00
Space group P2_1/c (No. 14)
Asymmetric unit:
Sr 0.222 0.079 0.249
Tb 0.000 0.000 0.500
U 0.500 0.000 0.000
S 0.139 0.190 0.942
S 0.254 0.702 0.939
S 0.370 0.036 0.756

Summary:
**DOS at the Fermi energy**: 0.04 states/eV per atom
**Formation energy without anion corrections**: -1.847 eV per atom

***

(3)
Computed, not measured: crystalline SrTb2US8 at its relaxed geometry at the GGA-PBE level of DFT.

a b c (Å): 5.620 6.751 8.405
angles (deg): 90.02 90.28 90.84
Space group P-1 (No. 2)
Asymmetric unit:
Sr 0.000 0.000 0.000
Tb 0.498 0.500 0.731
U 0.000 0.000 0.500
S 0.173 0.566 0.000
S 0.244 0.669 0.498
S 0.254 0.149 0.281
S 0.257 0.146 0.721

Summary:
**Formation energy without anion corrections**: -1.432 eV per atom

***

(4)
Computed, not measured: crystalline Sr3TbY3S8 at its relaxed geometry at the GGA-PBE level of DFT.

a b c (Å): 8.0168 8.0168 20.5834
angles (deg): 90.00 90.00 120.00
Space group R-3m (No. 166, hexagonal axes)
Asymmetric unit:
Sr 0.0000 0.5000 0.0000
Tb 0.0000 0.0000 0.5000
Y 0.0000 0.5000 0.5000
S 0.0000 0.0000 0.2432
S 0.0006 0.5003 0.2415

Summary:
**DOS at the Fermi energy**: 0.32 states/eV per atom
**Formation energy without anion corrections**: -2.089 eV per atom

***

Listing total magnetization for the structures above in their given order: 0.0000; 0.1004; 0.0000; 0.0000 μB per atom.